1.
Material: GaOsRu
Method: DFT, GGA-PBE
State: relaxed

Computed properties:
E = -7.938 eV/atom
formation enthalpy at 0 K = -0.3 eV per formula unit
theoretical density = 14059 kg/m³
energy relative to the lowest polymorph listed for this composition = 0.0000 eV per atom

Unit cell a=10.2815 b=2.8312 c=6.0581 alpha=90.00 beta=104.72 gamma=90.00
With the nearest neighbours (Å) after each atom.
Space group C2/m (No. 12)
Symmetry-distinct sites (fractional):
Ga1 0.1406 0.0000 0.0343  3 Os 2.61-2.71, 4 Ru 2.61-2.72, 5 Ga 2.78-2.83
Os1 0.1895 0.0000 0.6327  3 Ga 2.61-2.71, 5 Ru 2.65-2.80, 4 Os 2.67-2.83
Ru1 0.0308 0.5000 0.3009  4 Ga 2.61-2.72, 3 Ru 2.65-2.83, 5 Os 2.65-2.80


2.
Material: GaOs3Ru
Method: DFT, GGA-PBE
State: relaxed

Computed properties:
E = -7.110 eV/atom
formation enthalpy at 0 K = 10.4 eV per formula unit
theoretical density = 14032 kg/m³
energy relative to the lowest polymorph listed for this composition = 0.0000 eV per atom

Unit cell a=4.4436 b=4.4436 c=4.4436 alpha=90.00 beta=90.00 gamma=90.00
With the nearest neighbours (Å) after each atom.
Space group Pm-3m (No. 221)
Symmetry-distinct sites (fractional):
Ga1 0.0000 0.0000 0.0000  6 Os 2.22
Os1 0.0000 0.0000 0.5000  2 Ga 2.22
Ru1 0.5000 0.5000 0.5000  12 Os 3.14


3.
Material: GaOsRu
Method: DFT, GGA-PBE
State: relaxed

Computed properties:
E = -7.914 eV/atom
formation enthalpy at 0 K = -0.2 eV per formula unit
theoretical density = 14094 kg/m³
energy relative to the lowest polymorph listed for this composition = 0.0245 eV per atom

Unit cell a=13.5594 b=2.8485 c=4.4149 alpha=90.00 beta=93.84 gamma=90.00
With the nearest neighbours (Å) after each atom.
Space group C2/m (No. 12)
Symmetry-distinct sites (fractional):
Ga1 0.0649 0.0000 0.2276  3 Ga 2.58-2.85, 6 Ru 2.61-2.75, 2 Os 2.65
Os1 0.2298 0.5000 0.2422  2 Ga 2.65, 6 Os 2.66-2.85, 4 Ru 2.67-2.80
Ru1 0.1031 0.5000 0.7158  6 Ga 2.61-2.75, 4 Os 2.67-2.80, 2 Ru 2.85